Material: Cr2RuCl
Method: DFT, GGA-PBE
State: relaxed

Properties
**Energy relative to the elements, uncorrected**: 463 meV/atom
**Space group**: No. 35
**Crystal system**: orthorhombic

Structure (POSCAR):
```
Cr2RuCl
1.0
-0.516 -2.783 0.320
1.809 0.780 -2.058
6.226 -0.549 5.263
Ru Cl Cr
1 1 2
Cartesian
2.944 -0.260 2.489
5.491 -1.429 3.227
0.067 -0.006 0.056
2.129 -1.133 0.384
```

***

Material: Na10TlAu4
Method: DFT, GGA-PBE
State: relaxed

Properties
**Formation enthalpy at 0 K**: -0.15 eV/atom
**Space group**: No. 87
**Crystal system**: tetragonal

Structure (POSCAR):
```
Na10TlAu4
1.0
-5.252 -3.333 3.577
-4.362 -5.883 -4.689
2.484 -7.273 4.068
Na Tl Au
10 1 4
Cartesian
-2.252 -7.411 0.584
-2.471 -10.467 4.479
0.040 -3.034 0.964
-4.641 -11.850 0.271
-7.188 -7.626 0.200
-4.659 -6.022 -1.522
-4.878 -9.078 2.372
0.058 -8.863 2.757
-2.489 -4.639 2.686
-7.170 -13.455 1.993
0.000 0.000 0.000
-4.575 -8.942 -0.655
-4.853 -11.976 3.308
-2.277 -4.513 -0.351
-2.555 -7.547 3.611
```

***

Material: VPdS2
Method: DFT, GGA-PBE
State: relaxed

Properties
**Energy relative to the elements, uncorrected**: -183 meV/atom
**Space group**: No. 225
**Crystal system**: cubic

Structure (POSCAR):
```
VPdS2
1.0
0.000 3.065 3.065
3.065 0.000 3.065
3.065 3.065 0.000
S Pd V
2 1 1
Cartesian
1.532 1.532 1.532
4.597 4.597 4.597
3.065 3.065 3.065
0.000 0.000 0.000
```

***

Copy entry 1 word for word.
Material: Cr2RuCl
Method: DFT, GGA-PBE
State: relaxed

Properties
**Energy relative to the elements, uncorrected**: 463 meV/atom
**Space group**: No. 35
**Crystal system**: orthorhombic

Structure (POSCAR):
```
Cr2RuCl
1.0
-0.516 -2.783 0.320
1.809 0.780 -2.058
6.226 -0.549 5.263
Ru Cl Cr
1 1 2
Cartesian
2.944 -0.260 2.489
5.491 -1.429 3.227
0.067 -0.006 0.056
2.129 -1.133 0.384
```